Entry from Alexandria: a relaxed structure of Li2Mn3NiO8 (PBE with a Hubbard U).

Values from the calculation:
Its polymorph energy (0 for the lowest one) is 1.79 kcal/mol of atoms. Its space group is R3m. The density comes out at 4.23 Mg/m³. The value obtained for the total energy is -6.39 eV per atom. The magnetic moment is 0.7851 μB/atom.

Lattice parameters (Å, degrees): 5.9164 5.9164 5.9164 59.15 59.15 59.15
With the nearest neighbours (Å) after each atom.
Fractional positions:
Li 0.0000 0.0000 0.0000  6 O 2.08
Li 0.3843 0.3843 0.3843  4 O 1.94-2.15
Mn 0.0004 0.0004 0.4938  6 O 1.90-1.99
Mn 0.0004 0.4938 0.0004  6 O 1.90-1.99
Mn 0.4938 0.0004 0.0004  6 O 1.90-1.99
Ni 0.6150 0.6150 0.6150  4 O 1.93-2.13
O 0.2102 0.7517 0.7517  1 Ni 1.93, 2 Mn 1.95, 1 Li 2.08
O 0.2366 0.2366 0.2366  3 Mn 1.97, 1 Li 2.15
O 0.2477 0.2477 0.7905  2 Mn 1.90, 2 Li 1.94-2.08
O 0.2477 0.7905 0.2477  2 Mn 1.90, 2 Li 1.94-2.08
O 0.7517 0.2102 0.7517  1 Ni 1.93, 2 Mn 1.95, 1 Li 2.08
O 0.7517 0.7517 0.2102  1 Ni 1.93, 2 Mn 1.95, 1 Li 2.08
O 0.7611 0.7611 0.7611  3 Mn 1.99, 1 Ni 2.13
O 0.7905 0.2477 0.2477  2 Mn 1.90, 2 Li 1.94-2.08